No. 1
DFT (GGA-PBE) results for NdMg7Zn5 after structural relaxation.

a b c (Å): 5.5583 7.3420 7.3420
angles (deg): 81.19 67.76 67.76
Fractional coordinates of all 13 atoms:
Mg 0.6536 0.3464 0.3464
Mg 0.9961 0.6566 0.3511
Mg 0.3467 0.6533 0.6533
Zn 0.5011 0.9941 0.5049
Mg 0.5028 0.7905 0.2038
Mg 0.2782 0.2218 0.2218
Zn 0.9999 0.5049 0.9941
Mg 0.9961 0.3511 0.6566
Zn 0.9999 0.9941 0.5049
Mg 0.5028 0.2038 0.7905
Zn 0.5011 0.5049 0.9941
Nd 0.0046 0.9954 0.9954
Zn 0.7171 0.7829 0.7829

**Calculated formation energy**: -0.16 eV/atom

No. 2
DFT (GGA-PBE) results for Pm5Cu2Sn after structural relaxation.

a b c (Å): 8.1236 8.1236 8.7777
angles (deg): 117.56 117.56 90.00
Fractional coordinates of all 16 atoms:
Pm 0.9873 0.4873 0.2858
Pm 0.2985 0.7985 0.2858
Sn 0.2500 0.2500 0.5000
Cu 0.6279 0.1279 0.0000
Cu 0.3721 0.8721 0.0000
Pm 0.0127 0.5127 0.7142
Pm 0.4873 0.2985 0.2858
Pm 0.7015 0.2015 0.7142
Pm 0.0000 0.0000 0.0000
Cu 0.1279 0.3721 0.0000
Pm 0.5000 0.5000 0.0000
Sn 0.7500 0.7500 0.5000
Pm 0.5127 0.7015 0.7142
Cu 0.8721 0.6279 0.0000
Pm 0.7985 0.9873 0.2858
Pm 0.2015 0.0127 0.7142

**Calculated formation energy**: -0.30 eV/atom

No. 3
DFT (GGA-PBE) results for Tl3NiW after structural relaxation.

a b c (Å): 5.3767 5.3767 5.3767
angles (deg): 90.00 90.00 90.00
Site moments in Bohr magnetons follow the coordinates.
Fractional coordinates of all 5 atoms:
W 0.0000 0.0000 0.0000  0.60
Tl 0.0000 0.5000 0.0000  0.01
Tl 0.0000 0.0000 0.5000  0.00
Ni 0.5000 0.5000 0.5000  0.88
Tl 0.5000 0.0000 0.0000  -0.01

**Calculated formation energy**: 1.40 eV/atom
**E above lowest polymorph**: 0.162 eV/atom

No. 4
DFT (GGA-PBE) results for MnIr4Pt after structural relaxation.

a b c (Å): 5.1527 5.1527 5.1527
angles (deg): 60.00 60.00 60.00
Site moments in Bohr magnetons follow the coordinates.
Fractional coordinates of all 6 atoms:
Ir 0.3750 0.8751 0.3750  -0.18
Pt 0.0000 0.0000 0.0000  -0.23
Ir 0.3750 0.3750 0.3750  -0.18
Ir 0.3750 0.3750 0.8751  -0.18
Ir 0.8751 0.3750 0.3750  -0.18
Mn 0.7500 0.7500 0.7500  3.93

**Calculated formation energy**: 0.43 eV/atom

No. 5
DFT (GGA-PBE) results for AcTbHo2 after structural relaxation.

a b c (Å): 3.6931 3.6931 11.8511
angles (deg): 81.04 81.04 60.00
Fractional coordinates of all 4 atoms:
Ho 0.2468 0.2468 0.2596
Tb 0.5003 0.5003 0.4990
Ac 0.6664 0.6664 0.0008
Ho 0.0865 0.0865 0.7405

**Calculated formation energy**: 0.05 eV/atom
**E above lowest polymorph**: 0.000 eV/atom

No. 6
DFT (GGA-PBE) results for BaTiGaRe2 after structural relaxation.

a b c (Å): 4.6548 5.9164 4.6548
angles (deg): 90.00 90.00 90.00
Fractional coordinates of all 5 atoms:
Ba 0.0000 0.5000 0.0000
Ga 0.5000 0.5000 0.5000
Ti 0.0000 0.0000 0.0000
Re 0.5000 0.0000 0.0000
Re 0.0000 0.0000 0.5000

**Calculated formation energy**: 1.57 eV/atom

No. 7
DFT (GGA-PBE) results for Ba2CaAg2S4 after structural relaxation.

a b c (Å): 4.1315 7.5638 8.0013
angles (deg): 109.92 104.96 90.00
Fractional coordinates of all 9 atoms:
Ca 0.0000 0.0000 0.0000
Ba 0.8685 0.4317 0.7370
S 0.4830 0.2521 0.9660
Ag 0.6786 0.9993 0.3573
S 0.5170 0.7479 0.0340
Ba 0.1315 0.5683 0.2630
S 0.7936 0.7765 0.5873
Ag 0.3214 0.0007 0.6427
S 0.2064 0.2235 0.4127

**Raw total energy**: -4.50 eV/atom

No. 8
DFT (GGA-PBE) results for YBe2V2 after structural relaxation.

a b c (Å): 4.0448 4.0448 5.5057
angles (deg): 68.45 68.45 90.00
Fractional coordinates of all 5 atoms:
V 0.6434 0.6434 0.7133
Be 0.7500 0.2500 0.5000
Y 0.0000 0.0000 0.0000
Be 0.2500 0.7500 0.5000
V 0.3566 0.3566 0.2867

**Calculated formation energy**: 0.38 eV/atom
**E above lowest polymorph**: 0.060 eV/atom